No. 1
The following is a DFT calculation (PBE) of a relaxed structure of Hf2Zr2Ir.

a = 6.833 Å, b = 6.833 Å, c = 4.754 Å
α = 90.00°, β = 90.00°, γ = 90.00°
Fractional positions:
Hf 0.155 0.345 0.000
Hf 0.345 0.845 0.000
Hf 0.655 0.155 0.000
Hf 0.845 0.655 0.000
Zr 0.152 0.652 0.500
Zr 0.348 0.152 0.500
Zr 0.652 0.848 0.500
Zr 0.848 0.348 0.500
Ir 0.000 0.000 0.500
Ir 0.500 0.500 0.500

Its space-group type is P4/mbm, No. 127. The total energy comes out at -92.37 eV for the cell shown. The value obtained for the calculated formation energy is -0.064 eV/atom.

No. 2
The following is a DFT calculation (PBE) of a relaxed structure of HfZr2Ir3.

a = 8.028 Å, b = 8.028 Å, c = 8.028 Å
α = 155.65°, β = 148.66°, γ = 40.08°
Fractional positions:
Hf 0.000 0.000 0.000
Zr 0.325 0.825 0.500
Zr 0.675 0.175 0.500
Ir 0.142 0.642 0.500
Ir 0.500 0.500 0.000
Ir 0.858 0.358 0.500

Its space-group type is Immm, No. 71. The total energy comes out at -59.08 eV for the cell shown. The value obtained for the calculated formation energy is -0.908 eV/atom.